Arrangement w

DFT (PBE) results for a relaxed structure of AlAg2Sb.

extended XYZ file:
```
4
Lattice="-2.686 1.277 -1.191 -1.262 -3.764 -1.192 -2.735 -0.773 5.336" Properties=species:S:1:pos:R:3 pbc="T T T"
Sb -4.009 -1.818 2.780
Al -1.297 -0.367 2.531
Ag -0.069 -0.020 0.136
Ag -2.674 -1.441 0.175
```

Values from the calculation:
ρ in g cm⁻³: 7.538
Size of the total moment in μB per atom: 0.000
DOS at the Fermi energy in states/eV per atom: 0.293

=====

Arrangement x

DFT (PBE) results for a relaxed structure of AlAg2Sb.

extended XYZ file:
```
4
Lattice="-2.183 -1.389 1.692 -1.130 -1.331 -2.551 5.089 -6.570 1.176" Properties=species:S:1:pos:R:3 pbc="T T T"
Sb 2.160 -6.288 0.452
Al -0.384 -3.003 -0.136
Ag 0.208 -0.269 0.048
Ag 2.337 -3.017 0.540
```

Values from the calculation:
ρ in g cm⁻³: 7.545
Size of the total moment in μB per atom: 0.000
DOS at the Fermi energy in states/eV per atom: 0.346

=====

Q: What are the energies relative to the best structure? A: arrangement w 8; arrangement x 0, in meV per atom.